Density functional theory data (PBE) for an optimized crystal structure of AlCo2Mo.

DOS at the Fermi energy (states/eV/f.u.): 4.080
Magnetization (μB/f.u.): 0.001
Energy of formation (eV/atom): -0.1714

Cell lengths 2.7104, 3.4265, 5.4337 Å; angles 90.00, 90.11, 90.00 degrees
Fractional coordinates of all 4 atoms:
Al 0.0000 0.0000 0.0000
Co 0.4990 0.5000 0.7498
Co 0.5010 0.5000 0.2502
Mo 0.0000 0.0000 0.5000

Density functional theory data (PBE) for an optimized crystal structure of Al2CoMo.

DOS at the Fermi energy (states/eV/f.u.): 3.699
Magnetization (μB/f.u.): 1.086
Energy above the most stable polymorph in this dataset (kJ/mol of formula units): 80.5
Energy of formation (eV/atom): -0.1321

Cell lengths 4.6783, 4.6783, 4.6783 Å; angles 131.92, 131.92, 70.35 degrees
Fractional coordinates of all 4 atoms:
Al 0.2500 0.7500 0.5000
Al 0.7500 0.2500 0.5000
Co 0.0000 0.0000 0.0000
Mo 0.5000 0.5000 0.0000

Density functional theory data (PBE) for an optimized crystal structure of AlCoMo2.

DOS at the Fermi energy (states/eV/f.u.): 3.658
Magnetization (μB/f.u.): 1.283
Energy of formation (eV/atom): -0.0587

Cell lengths 4.9300, 4.9300, 4.9300 Å; angles 142.21, 127.77, 66.26 degrees
Fractional coordinates of all 4 atoms:
Al 0.0000 0.0000 0.0000
Co 0.2371 0.7371 0.5000
Mo 0.4846 0.4846 0.0000
Mo 0.7294 0.2294 0.5000

Density functional theory data (PBE) for an optimized crystal structure of AlCoMo2.

DOS at the Fermi energy (states/eV/f.u.): 3.268
Magnetization (μB/f.u.): 0.000
Energy of formation (eV/atom): 0.0155

Cell lengths 4.7311, 4.7311, 4.7539 Å; angles 100.03, 100.03, 33.10 degrees
Fractional coordinates of all 4 atoms:
Al 0.0000 0.0000 0.0000
Co 0.7371 0.7371 0.2070
Mo 0.2357 0.2357 0.7295
Mo 0.4673 0.4673 0.4773

Density functional theory data (PBE) for an optimized crystal structure of AlCoMo2.

DOS at the Fermi energy (states/eV/f.u.): 2.499
Magnetization (μB/f.u.): 0.001
Energy of formation (eV/atom): -0.1292

Cell lengths 2.7258, 2.7258, 7.5376 Å; angles 90.00, 90.00, 90.00 degrees
Fractional coordinates of all 4 atoms:
Al 0.0000 0.0000 0.0000
Co 0.5000 0.5000 0.2045
Mo 0.0000 0.0000 0.4298
Mo 0.5000 0.5000 0.7304

Density functional theory data (PBE) for an optimized crystal structure of AlCoMo2.

DOS at the Fermi energy (states/eV/f.u.): 2.567
Magnetization (μB/f.u.): 0.000
Energy of formation (eV/atom): -0.0716

Cell lengths 2.7029, 4.2779, 4.9382 Å; angles 90.00, 97.11, 90.00 degrees
Fractional coordinates of all 4 atoms:
Al 0.0000 0.0000 0.0000
Co 0.9204 0.5000 0.2490
Mo 0.3863 0.5000 0.7631
Mo 0.5748 0.0000 0.4879

Density functional theory data (PBE) for an optimized crystal structure of AlCoMo3.

DOS at the Fermi energy (states/eV/f.u.): 8.480
Magnetization (μB/f.u.): 0.002
Energy above the most stable polymorph in this dataset (kJ/mol of formula units): 386.0
Energy of formation (eV/atom): 1.8191

Cell lengths 4.4724, 4.4724, 4.4724 Å; angles 90.00, 90.00, 90.00 degrees
Fractional coordinates of all 5 atoms:
Al 0.0000 0.0000 0.0000
Co 0.5000 0.5000 0.5000
Mo 0.0000 0.0000 0.5000
Mo 0.0000 0.5000 0.0000
Mo 0.5000 0.0000 0.0000

Density functional theory data (PBE) for an optimized crystal structure of AlCo2Mo.

DOS at the Fermi energy (states/eV/f.u.): 6.778
Magnetization (μB/f.u.): 0.958
Energy of formation (eV/atom): -0.0009

Cell lengths 4.1524, 4.1524, 4.1524 Å; angles 60.00, 60.00, 60.00 degrees
Fractional coordinates of all 4 atoms:
Al 0.0000 0.0000 0.0000
Co 0.5000 0.5000 0.5000
Co 0.7500 0.7500 0.7500
Mo 0.2500 0.2500 0.2500

Density functional theory data (PBE) for an optimized crystal structure of AlCoMo2.

DOS at the Fermi energy (states/eV/f.u.): 3.188
Magnetization (μB/f.u.): 0.927
Energy of formation (eV/atom): 0.0943

Cell lengths 8.9596, 8.9596, 8.9596 Å; angles 17.68, 17.68, 17.68 degrees
Fractional coordinates of all 4 atoms:
Al 0.0000 0.0000 0.0000
Co 0.7413 0.7413 0.7413
Mo 0.2457 0.2457 0.2457
Mo 0.4863 0.4863 0.4863

Density functional theory data (PBE) for an optimized crystal structure of Al2CoMo.

DOS at the Fermi energy (states/eV/f.u.): 2.424
Magnetization (μB/f.u.): 0.161
Energy above the most stable polymorph in this dataset (kJ/mol of formula units): 108.1
Energy of formation (eV/atom): -0.0607

Cell lengths 8.6948, 8.6948, 8.6948 Å; angles 18.42, 18.42, 18.42 degrees
Fractional coordinates of all 4 atoms:
Al 0.0000 0.0000 0.0000
Al 0.2418 0.2418 0.2418
Co 0.7417 0.7417 0.7417
Mo 0.4866 0.4866 0.4866

Density functional theory data (PBE) for an optimized crystal structure of AlCoMo2.

DOS at the Fermi energy (states/eV/f.u.): 3.560
Magnetization (μB/f.u.): 0.000
Energy of formation (eV/atom): -0.0279

Cell lengths 4.9436, 4.9436, 2.6805 Å; angles 96.31, 96.31, 117.64 degrees
Fractional coordinates of all 4 atoms:
Al 0.0000 0.0000 0.0000
Co 0.5000 0.5000 0.0000
Mo 0.0000 0.5000 0.5000
Mo 0.5000 0.0000 0.5000

Density functional theory data (PBE) for an optimized crystal structure of Al2CoMo.

DOS at the Fermi energy (states/eV/f.u.): 3.948
Magnetization (μB/f.u.): 0.000
Energy above the most stable polymorph in this dataset (kJ/mol of formula units): 56.1
Energy of formation (eV/atom): -0.1953

Cell lengths 4.3650, 4.3650, 2.8857 Å; angles 90.00, 90.00, 90.00 degrees
Fractional coordinates of all 4 atoms:
Al 0.0000 0.5000 0.0000
Al 0.5000 0.0000 0.0000
Co 0.0000 0.0000 0.5000
Mo 0.5000 0.5000 0.5000

Density functional theory data (PBE) for an optimized crystal structure of Al2CoMo.

DOS at the Fermi energy (states/eV/f.u.): 2.562
Magnetization (μB/f.u.): 0.657
Energy above the most stable polymorph in this dataset (kJ/mol of formula units): 59.0
Energy of formation (eV/atom): -0.1877

Cell lengths 2.9987, 2.9987, 6.1417 Å; angles 90.00, 90.00, 90.00 degrees
Fractional coordinates of all 4 atoms:
Al 0.0000 0.0000 0.0000
Al 0.5000 0.5000 0.2778
Co 0.0000 0.0000 0.4726
Mo 0.5000 0.5000 0.7347

Density functional theory data (PBE) for an optimized crystal structure of AlCo2Mo.

DOS at the Fermi energy (states/eV/f.u.): 4.277
Magnetization (μB/f.u.): 1.540
Energy of formation (eV/atom): 0.0857

Cell lengths 8.4777, 8.4777, 8.4777 Å; angles 18.26, 18.26, 18.26 degrees
Fractional coordinates of all 4 atoms:
Al 0.0000 0.0000 0.0000
Co 0.4890 0.4890 0.4890
Co 0.7452 0.7452 0.7452
Mo 0.2394 0.2394 0.2394

Density functional theory data (PBE) for an optimized crystal structure of AlCo2Mo.

DOS at the Fermi energy (states/eV/f.u.): 4.753
Magnetization (μB/f.u.): 1.899
Energy of formation (eV/atom): 0.0469

Cell lengths 2.9074, 4.0865, 4.3467 Å; angles 90.00, 90.00, 90.00 degrees
Fractional coordinates of all 4 atoms:
Al 0.0000 0.0000 0.0000
Co 0.0000 0.5000 0.5000
Co 0.5000 0.5000 0.0000
Mo 0.5000 0.0000 0.5000

Density functional theory data (PBE) for an optimized crystal structure of AlCo2Mo2.

DOS at the Fermi energy (states/eV/f.u.): 5.063
Magnetization (μB/f.u.): 0.000
Energy of formation (eV/atom): 0.0273

Cell lengths 6.9949, 6.9949, 2.8108 Å; angles 90.00, 90.00, 90.00 degrees
Fractional coordinates of all 10 atoms:
Al 0.0000 0.0000 0.0000
Al 0.5000 0.5000 0.0000
Co 0.1228 0.3772 0.0000
Co 0.3772 0.8772 0.0000
Co 0.6228 0.1228 0.0000
Co 0.8772 0.6228 0.0000
Mo 0.1724 0.6724 0.5000
Mo 0.3276 0.1724 0.5000
Mo 0.6724 0.8276 0.5000
Mo 0.8276 0.3276 0.5000

Density functional theory data (PBE) for an optimized crystal structure of AlCo2Mo.

DOS at the Fermi energy (states/eV/f.u.): 4.418
Magnetization (μB/f.u.): 1.698
Energy of formation (eV/atom): -0.1376

Cell lengths 4.2873, 4.2873, 2.7634 Å; angles 90.00, 90.00, 90.00 degrees
Fractional coordinates of all 4 atoms:
Al 0.0000 0.0000 0.0000
Co 0.0000 0.5000 0.5000
Co 0.5000 0.0000 0.5000
Mo 0.5000 0.5000 0.0000

Density functional theory data (PBE) for an optimized crystal structure of AlCoMo2.

DOS at the Fermi energy (states/eV/f.u.): 2.431
Magnetization (μB/f.u.): 0.705
Energy of formation (eV/atom): -0.0594

Cell lengths 2.7424, 2.7424, 7.5289 Å; angles 90.00, 90.00, 90.00 degrees
Fractional coordinates of all 4 atoms:
Al 0.0000 0.0000 0.0000
Co 0.0000 0.0000 0.5000
Mo 0.5000 0.5000 0.2657
Mo 0.5000 0.5000 0.7343

Density functional theory data (PBE) for an optimized crystal structure of AlCo2Mo.

DOS at the Fermi energy (states/eV/f.u.): 4.236
Magnetization (μB/f.u.): 1.673
Energy of formation (eV/atom): -0.0374

Cell lengths 4.3528, 4.3528, 4.7185 Å; angles 97.60, 97.60, 35.76 degrees
Fractional coordinates of all 4 atoms:
Al 0.0000 0.0000 0.0000
Co 0.2545 0.2545 0.7495
Co 0.7455 0.7455 0.2505
Mo 0.5000 0.5000 0.5000

Density functional theory data (PBE) for an optimized crystal structure of AlCoNiMo.

DOS at the Fermi energy (states/eV/f.u.): 4.526
Magnetization (μB/f.u.): 0.277
Energy of formation (eV/atom): -0.1821

Cell lengths 4.1683, 4.1683, 4.1683 Å; angles 60.00, 60.00, 60.00 degrees
Fractional coordinates of all 4 atoms:
Al 0.0000 0.0000 0.0000
Co 0.7500 0.7500 0.7500
Ni 0.2500 0.2500 0.2500
Mo 0.5000 0.5000 0.5000